Entry from the Alexandria database: crystalline ReTeWN2 at its relaxed geometry (PBE-GGA).

The structure in CIF format:
```
data_ReTeWN2
_chemical_formula_sum 'Re1 Te1 W1 N2'
_cell_length_a 3.9317
_cell_length_b 3.9317
_cell_length_c 5.7894
_cell_angle_alpha 90.00
_cell_angle_beta 90.00
_cell_angle_gamma 90.00
_space_group_name_H-M_alt 'P 4/m m m'
_space_group_IT_number 123
_space_group_name_Hall '-P 4 2'
loop_
_atom_site_label
_atom_site_fract_x
_atom_site_fract_y
_atom_site_fract_z
_atom_site_occupancy
Re1 0.0000 0.0000 0.0000 1
Te1 0.5000 0.5000 0.0000 1
W1 0.5000 0.5000 0.5000 1
N1 0.0000 0.5000 0.5000 1
```

Computed properties:
Uncorrected formation energy in eV/f.u.: 6.0
Energy relative to the lowest polymorph listed for this composition in meV/atom: 0.0

Entry from the Alexandria database: crystalline YReTe2N at its relaxed geometry (PBE-GGA).

The structure in CIF format:
```
data_YReTe2N
_chemical_formula_sum 'Y1 Re1 Te2 N1'
_cell_length_a 5.5215
_cell_length_b 5.5215
_cell_length_c 3.7858
_cell_angle_alpha 90.00
_cell_angle_beta 90.00
_cell_angle_gamma 90.00
_space_group_name_H-M_alt 'P 4/m m m'
_space_group_IT_number 123
_space_group_name_Hall '-P 4 2'
loop_
_atom_site_label
_atom_site_fract_x
_atom_site_fract_y
_atom_site_fract_z
_atom_site_occupancy
Y1 0.0000 0.0000 0.0000 1
Re1 0.5000 0.5000 0.5000 1
Te1 0.0000 0.5000 0.5000 1
N1 0.5000 0.5000 0.0000 1
```

Computed properties:
Uncorrected formation energy in eV/f.u.: -1.0
Energy relative to the lowest polymorph listed for this composition in meV/atom: 0.0

Entry from the Alexandria database: crystalline YReTe2N at its relaxed geometry (PBE-GGA).

The structure in CIF format:
```
data_YReTe2N
_chemical_formula_sum 'Y1 Re1 Te2 N1'
_cell_length_a 5.8945
_cell_length_b 5.8945
_cell_length_c 4.1700
_cell_angle_alpha 90.00
_cell_angle_beta 90.00
_cell_angle_gamma 90.00
_space_group_name_H-M_alt 'P 4/m m m'
_space_group_IT_number 123
_space_group_name_Hall '-P 4 2'
loop_
_atom_site_label
_atom_site_fract_x
_atom_site_fract_y
_atom_site_fract_z
_atom_site_occupancy
Y1 0.0000 0.0000 0.0000 1
Re1 0.5000 0.5000 0.5000 1
Te1 0.0000 0.5000 0.0000 1
N1 0.0000 0.0000 0.5000 1
```

Computed properties:
Uncorrected formation energy in eV/f.u.: 6.1
Energy relative to the lowest polymorph listed for this composition in meV/atom: 1420.1

Entry from the Alexandria database: crystalline Zr2ReTeN at its relaxed geometry (PBE-GGA).

The structure in CIF format:
```
data_Zr2ReTeN
_chemical_formula_sum 'Zr2 Re1 Te1 N1'
_cell_length_a 5.1176
_cell_length_b 5.1176
_cell_length_c 4.8903
_cell_angle_alpha 90.00
_cell_angle_beta 90.00
_cell_angle_gamma 90.00
_space_group_name_H-M_alt 'P 4/m m m'
_space_group_IT_number 123
_space_group_name_Hall '-P 4 2'
loop_
_atom_site_label
_atom_site_fract_x
_atom_site_fract_y
_atom_site_fract_z
_atom_site_occupancy
Zr1 0.0000 0.5000 0.0000 1
Re1 0.0000 0.0000 0.0000 1
Te1 0.0000 0.0000 0.5000 1
N1 0.5000 0.5000 0.5000 1
```

Computed properties:
Uncorrected formation energy in eV/f.u.: 7.5

Entry from the Alexandria database: crystalline ZrReTeN2 at its relaxed geometry (PBE-GGA).

The structure in CIF format:
```
data_ZrReTeN2
_chemical_formula_sum 'Zr1 Re1 Te1 N2'
_cell_length_a 3.9619
_cell_length_b 3.9619
_cell_length_c 5.5302
_cell_angle_alpha 90.00
_cell_angle_beta 90.00
_cell_angle_gamma 90.00
_space_group_name_H-M_alt 'P 4/m m m'
_space_group_IT_number 123
_space_group_name_Hall '-P 4 2'
loop_
_atom_site_label
_atom_site_fract_x
_atom_site_fract_y
_atom_site_fract_z
_atom_site_occupancy
Zr1 0.0000 0.0000 0.0000 1
Re1 0.5000 0.5000 0.5000 1
Te1 0.5000 0.5000 0.0000 1
N1 0.0000 0.5000 0.5000 1
```

Computed properties:
Uncorrected formation energy in eV/f.u.: 2.3
Energy relative to the lowest polymorph listed for this composition in meV/atom: 0.0

Entry from the Alexandria database: crystalline ZrReTeN2 at its relaxed geometry (PBE-GGA).

The structure in CIF format:
```
data_ZrReTeN2
_chemical_formula_sum 'Zr1 Re1 Te1 N2'
_cell_length_a 4.1361
_cell_length_b 4.1361
_cell_length_c 6.1385
_cell_angle_alpha 90.00
_cell_angle_beta 90.00
_cell_angle_gamma 90.00
_space_group_name_H-M_alt 'P 4/m m m'
_space_group_IT_number 123
_space_group_name_Hall '-P 4 2'
loop_
_atom_site_label
_atom_site_fract_x
_atom_site_fract_y
_atom_site_fract_z
_atom_site_occupancy
Zr1 0.0000 0.0000 0.0000 1
Re1 0.5000 0.5000 0.5000 1
Te1 0.0000 0.0000 0.5000 1
N1 0.0000 0.5000 0.0000 1
```

Computed properties:
Uncorrected formation energy in eV/f.u.: 5.9
Energy relative to the lowest polymorph listed for this composition in meV/atom: 725.1

Entry from the Alexandria database: crystalline ThReN3 at its relaxed geometry (PBE-GGA).

The structure in CIF format:
```
data_ThReN3
_chemical_formula_sum 'Th4 Re4 N12'
_cell_length_a 6.0504
_cell_length_b 5.3460
_cell_length_c 7.9997
_cell_angle_alpha 90.00
_cell_angle_beta 98.09
_cell_angle_gamma 90.00
_space_group_name_H-M_alt 'P 1 21/c 1'
_space_group_IT_number 14
loop_
_space_group_symop_operation_xyz
'x,y,z'
'-x,-y,-z'
'-x,y+1/2,-z+1/2'
'x,-y+1/2,z+1/2'
loop_
_atom_site_label
_atom_site_fract_x
_atom_site_fract_y
_atom_site_fract_z
_atom_site_occupancy
Th1 0.1430 0.2339 0.1661 1
Re1 0.4165 0.7167 0.0394 1
N1 0.1157 0.6817 0.1005 1
N2 0.3055 0.0715 0.9376 1
N3 0.4316 0.5844 0.8157 1
```

Computed properties:
Uncorrected formation energy in eV/f.u.: -3.4

Entry from the Alexandria database: crystalline Th2ReN at its relaxed geometry (PBE-GGA).

The structure in CIF format:
```
data_Th2ReN
_chemical_formula_sum 'Th6 Re3 N3'
_cell_length_a 3.4218
_cell_length_b 3.4218
_cell_length_c 25.2255
_cell_angle_alpha 90.00
_cell_angle_beta 90.00
_cell_angle_gamma 120.00
_space_group_name_H-M_alt 'R -3 m'
_space_group_IT_number 166
_space_group_name_Hall '-R 3 2"'
loop_
_atom_site_label
_atom_site_fract_x
_atom_site_fract_y
_atom_site_fract_z
_atom_site_occupancy
Th1 0.0000 0.0000 0.1041 1
Re1 0.0000 0.0000 0.0000 1
N1 0.0000 0.0000 0.5000 1
```

Computed properties:
Uncorrected formation energy in eV/f.u.: 0.4